Computed, not measured: an optimized crystal structure of TlRe2 at the GGA-PBE level of DFT.

The space group is Fd-3m (No. 227, origin choice 2) and the conventional cell measures 7.5713, 7.5713 and 7.5713 Å, with angles of 90.00, 90.00 and 90.00 degrees. The asymmetric unit holds Tl at (0.1250, 0.1250, 0.1250) and Re at (0.0000, 0.0000, 0.5000).

The raw total energy comes out at -194.4 eV/cell.